1.
{"formula": "MgCd2AsO", "functional": "PBE-GGA", "state": "optimized geometry", "raw_formation_energy_ev_per_atom": -0.55, "e_tot_ev_per_atom": -3.153, "total_magnetization_mub_per_cell": 0.00, "dos_at_fermi_per_ev_cell": 1.57, "rho_g_cm3": 6.02, "lattice_angstrom": [[4.8477, 0.0000, 0.0000], [0.0000, 4.8477, 0.0000], [0.0000, 0.0000, 3.9918]], "species": ["Mg", "Cd", "Cd", "As", "O"], "frac_coords": [[0.0000, 0.0000, 0.0000], [0.0000, 0.5000, 0.5000], [0.5000, 0.0000, 0.5000], [0.5000, 0.5000, 0.0000], [0.0000, 0.0000, 0.5000]]}

=====

2.
{"formula": "MgCdAs2O6", "functional": "PBE-GGA", "state": "optimized geometry", "raw_formation_energy_ev_per_atom": -1.36, "e_tot_ev_per_atom": -5.515, "total_magnetization_mub_per_cell": 0.00, "dos_at_fermi_per_ev_cell": 5.22, "rho_g_cm3": 4.60, "lattice_angstrom": [[5.3701, -4.2050, 0.0000], [5.3701, 4.2050, 0.0000], [-3.2986, 0.0000, 6.1128]], "species": ["Mg", "Mg", "Cd", "Cd", "As", "As", "As", "As", "O", "O", "O", "O", "O", "O", "O", "O", "O", "O", "O", "O"], "frac_coords": [[0.2187, 0.7813, 0.7500], [0.7813, 0.2187, 0.2500], [0.1689, 0.8311, 0.2500], [0.8311, 0.1689, 0.7500], [0.2654, 0.3433, 0.3182], [0.3433, 0.2654, 0.8182], [0.6567, 0.7346, 0.1818], [0.7346, 0.6567, 0.6818], [0.0533, 0.1875, 0.1960], [0.1676, 0.6091, 0.4354], [0.1875, 0.0533, 0.6960], [0.2718, 0.4128, 0.0659], [0.3909, 0.8324, 0.0646], [0.4128, 0.2718, 0.5659], [0.5872, 0.7282, 0.4341], [0.6091, 0.1676, 0.9354], [0.7282, 0.5872, 0.9341], [0.8125, 0.9467, 0.3040], [0.8324, 0.3909, 0.5646], [0.9467, 0.8125, 0.8040]]}

=====

3.
{"formula": "MgCdAs2O8", "functional": "PBE-GGA", "state": "optimized geometry", "raw_formation_energy_ev_per_atom": -1.15, "e_tot_ev_per_atom": -5.437, "total_magnetization_mub_per_cell": 2.04, "dos_at_fermi_per_ev_cell": 11.19, "rho_g_cm3": 4.04, "lattice_angstrom": [[5.5684, 0.0000, 0.0000], [-2.7842, 4.8224, 0.0000], [0.0000, 0.0000, 6.3391]], "species": ["Mg", "Cd", "As", "As", "O", "O", "O", "O", "O", "O", "O", "O"], "frac_coords": [[0.0000, 0.0000, 0.0000], [0.0000, 0.0000, 0.5000], [0.3333, 0.6667, 0.7080], [0.6667, 0.3333, 0.2920], [0.1627, 0.3254, 0.7848], [0.1627, 0.8373, 0.7848], [0.3254, 0.1627, 0.2152], [0.3333, 0.6667, 0.4360], [0.6667, 0.3333, 0.5640], [0.6746, 0.8373, 0.7848], [0.8373, 0.1627, 0.2152], [0.8373, 0.6746, 0.2152]]}

=====

4.
{"formula": "MgCdAs2Pb", "functional": "PBE-GGA", "state": "optimized geometry", "e_tot_ev_per_atom": -2.594, "total_magnetization_mub_per_cell": 0.00, "dos_at_fermi_per_ev_cell": 3.33, "rho_g_cm3": 5.78, "lattice_angstrom": [[5.2544, 0.0000, 0.0000], [0.0000, 5.2544, 0.0000], [0.0000, 0.0000, 5.1350]], "species": ["Mg", "Cd", "As", "As", "Pb"], "frac_coords": [[0.0000, 0.0000, 0.0000], [0.0000, 0.0000, 0.5000], [0.0000, 0.5000, 0.5000], [0.5000, 0.0000, 0.5000], [0.5000, 0.5000, 0.0000]]}

=====

5.
{"formula": "Mg2CdAsPb", "functional": "PBE-GGA", "state": "optimized geometry", "e_tot_ev_per_atom": -2.085, "total_magnetization_mub_per_cell": 0.00, "dos_at_fermi_per_ev_cell": 4.53, "rho_g_cm3": 5.11, "lattice_angstrom": [[5.2165, 0.0000, 0.0000], [0.0000, 5.2165, 0.0000], [0.0000, 0.0000, 5.2931]], "species": ["Mg", "Mg", "Cd", "As", "Pb"], "frac_coords": [[0.0000, 0.5000, 0.0000], [0.5000, 0.0000, 0.0000], [0.0000, 0.0000, 0.0000], [0.0000, 0.0000, 0.5000], [0.5000, 0.5000, 0.5000]]}

=====

6.
{"formula": "MgCd2As2Pd5", "functional": "PBE-GGA", "state": "optimized geometry", "e_tot_ev_per_atom": -4.198, "total_magnetization_mub_per_cell": 0.00, "dos_at_fermi_per_ev_cell": 5.75, "rho_g_cm3": 8.80, "lattice_angstrom": [[10.3492, 0.0000, 0.0000], [0.0000, 10.3492, 0.0000], [0.0000, 0.0000, 3.2796]], "species": ["Mg", "Mg", "Cd", "Cd", "Cd", "Cd", "As", "As", "As", "As", "Pd", "Pd", "Pd", "Pd", "Pd", "Pd", "Pd", "Pd", "Pd", "Pd"], "frac_coords": [[0.0000, 0.0000, 0.0000], [0.5000, 0.5000, 0.0000], [0.1763, 0.3237, 0.0000], [0.3237, 0.8237, 0.0000], [0.6763, 0.1763, 0.0000], [0.8237, 0.6763, 0.0000], [0.1381, 0.6381, 0.0000], [0.3619, 0.1381, 0.0000], [0.6381, 0.8619, 0.0000], [0.8619, 0.3619, 0.0000], [0.0000, 0.5000, 0.5000], [0.0163, 0.7915, 0.5000], [0.2085, 0.0163, 0.5000], [0.2915, 0.5163, 0.5000], [0.4837, 0.2915, 0.5000], [0.5000, 0.0000, 0.5000], [0.5163, 0.7085, 0.5000], [0.7085, 0.4837, 0.5000], [0.7915, 0.9837, 0.5000], [0.9837, 0.2085, 0.5000]]}

=====

7.
{"formula": "Mg2CdAs2Pd5", "functional": "PBE-GGA", "state": "optimized geometry", "e_tot_ev_per_atom": -4.378, "total_magnetization_mub_per_cell": 0.00, "dos_at_fermi_per_ev_cell": 11.43, "rho_g_cm3": 8.07, "lattice_angstrom": [[9.5344, 0.0000, 0.0000], [0.0000, 9.5344, 0.0000], [0.0000, 0.0000, 3.8167]], "species": ["Mg", "Mg", "Mg", "Mg", "Cd", "Cd", "As", "As", "As", "As", "Pd", "Pd", "Pd", "Pd", "Pd", "Pd", "Pd", "Pd", "Pd", "Pd"], "frac_coords": [[0.1693, 0.3307, 0.0000], [0.3307, 0.8307, 0.0000], [0.6693, 0.1693, 0.0000], [0.8307, 0.6693, 0.0000], [0.0000, 0.0000, 0.0000], [0.5000, 0.5000, 0.0000], [0.1299, 0.6299, 0.0000], [0.3701, 0.1299, 0.0000], [0.6299, 0.8701, 0.0000], [0.8701, 0.3701, 0.0000], [0.0000, 0.5000, 0.5000], [0.0813, 0.7989, 0.5000], [0.2011, 0.0813, 0.5000], [0.2989, 0.5813, 0.5000], [0.4187, 0.2989, 0.5000], [0.5000, 0.0000, 0.5000], [0.5813, 0.7011, 0.5000], [0.7011, 0.4187, 0.5000], [0.7989, 0.9187, 0.5000], [0.9187, 0.2011, 0.5000]]}

=====

8.
{"formula": "MgCd2SbAs", "functional": "PBE-GGA", "state": "optimized geometry", "raw_formation_energy_ev_per_atom": 0.65, "e_tot_ev_per_atom": -1.785, "total_magnetization_mub_per_cell": 0.00, "dos_at_fermi_per_ev_cell": 3.21, "rho_g_cm3": 5.00, "lattice_angstrom": [[5.2193, 0.0000, 0.0000], [0.0000, 5.2193, 0.0000], [0.0000, 0.0000, 5.4321]], "species": ["Mg", "Cd", "Cd", "Sb", "As"], "frac_coords": [[0.0000, 0.0000, 0.0000], [0.0000, 0.5000, 0.0000], [0.5000, 0.0000, 0.0000], [0.0000, 0.0000, 0.5000], [0.5000, 0.5000, 0.5000]]}

=====

9.
{"formula": "Mg2ScCdAs", "functional": "PBE-GGA", "state": "optimized geometry", "e_tot_ev_per_atom": -2.779, "total_magnetization_mub_per_cell": 0.00, "dos_at_fermi_per_ev_cell": 3.74, "rho_g_cm3": 3.53, "lattice_angstrom": [[4.9774, 0.0000, 0.0000], [0.0000, 4.9774, 0.0000], [0.0000, 0.0000, 5.3291]], "species": ["Mg", "Mg", "Sc", "Cd", "As"], "frac_coords": [[0.0000, 0.5000, 0.0000], [0.5000, 0.0000, 0.0000], [0.0000, 0.0000, 0.5000], [0.5000, 0.5000, 0.5000], [0.5000, 0.5000, 0.0000]]}

=====

10.
{"formula": "MgCdAsSe2", "functional": "PBE-GGA", "state": "optimized geometry", "raw_formation_energy_ev_per_atom": 0.27, "e_tot_ev_per_atom": -2.552, "total_magnetization_mub_per_cell": 0.00, "de_polymorph_mev_per_atom": 0, "dos_at_fermi_per_ev_cell": 5.22, "rho_g_cm3": 4.76, "lattice_angstrom": [[5.0719, 0.0000, 0.0000], [0.0000, 5.0719, 0.0000], [0.0000, 0.0000, 5.0129]], "species": ["Mg", "Cd", "As", "Se", "Se"], "frac_coords": [[0.0000, 0.0000, 0.0000], [0.5000, 0.5000, 0.5000], [0.0000, 0.0000, 0.5000], [0.0000, 0.5000, 0.0000], [0.5000, 0.0000, 0.0000]]}

=====

11.
{"formula": "MgTi2CdAs", "functional": "PBE-GGA", "state": "optimized geometry", "e_tot_ev_per_atom": -3.580, "total_magnetization_mub_per_cell": 2.27, "dos_at_fermi_per_ev_cell": 7.43, "rho_g_cm3": 4.36, "lattice_angstrom": [[4.9721, 0.0000, 0.0000], [0.0000, 4.9721, 0.0000], [0.0000, 0.0000, 4.7348]], "species": ["Mg", "Ti", "Ti", "Cd", "As"], "frac_coords": [[0.0000, 0.0000, 0.0000], [0.0000, 0.5000, 0.0000], [0.5000, 0.0000, 0.0000], [0.5000, 0.5000, 0.5000], [0.0000, 0.0000, 0.5000]]}

=====

12.
{"formula": "MgCdAs2W", "functional": "PBE-GGA", "state": "optimized geometry", "e_tot_ev_per_atom": -3.526, "total_magnetization_mub_per_cell": 3.29, "dos_at_fermi_per_ev_cell": 3.24, "rho_g_cm3": 6.57, "lattice_angstrom": [[4.8519, 0.0000, 0.0000], [0.0000, 4.8519, 0.0000], [0.0000, 0.0000, 5.0510]], "species": ["Mg", "Cd", "As", "As", "W"], "frac_coords": [[0.0000, 0.0000, 0.0000], [0.0000, 0.0000, 0.5000], [0.0000, 0.5000, 0.0000], [0.5000, 0.0000, 0.0000], [0.5000, 0.5000, 0.5000]]}